(1)
CuOs2Ru | GGA-PBE | relaxed

Values from the calculation:
- distance to the lowest polymorph of the same formula (eV/atom) = 0.822

Structure (CIF):
```
data_CuOs2Ru
_cell_length_a 7.206
_cell_length_b 7.206
_cell_length_c 4.989
_cell_angle_alpha 90.00
_cell_angle_beta 90.00
_cell_angle_gamma 90.00
_symmetry_space_group_name_H-M 'I -4 2 d'
_symmetry_Int_Tables_number 122
_symmetry_space_group_name_Hall 'I -4 2bw'
loop_
_atom_site_label
_atom_site_type_symbol
_atom_site_fract_x
_atom_site_fract_y
_atom_site_fract_z
Cu1 Cu 0.000 0.000 0.000
Os1 Os 0.204 0.250 0.625
Ru1 Ru 0.000 0.000 0.500
```

=====

(2)
Co8Ni3 | GGA-PBE | relaxed

Structure (CIF):
```
data_Co8Ni3
_cell_length_a 7.834
_cell_length_b 3.544
_cell_length_c 8.967
_cell_angle_alpha 90.00
_cell_angle_beta 105.55
_cell_angle_gamma 90.00
_symmetry_space_group_name_H-M 'C 1 2/m 1'
_symmetry_Int_Tables_number 12
loop_
_symmetry_equiv_pos_as_xyz
'x,y,z'
'-x,-y,-z'
'-x,y,-z'
'x,-y,z'
'x+1/2,y+1/2,z'
'-x+1/2,-y+1/2,-z'
'-x+1/2,y+1/2,-z'
'x+1/2,-y+1/2,z'
loop_
_atom_site_label
_atom_site_type_symbol
_atom_site_fract_x
_atom_site_fract_y
_atom_site_fract_z
Co1 Co 0.046 0.000 0.318
Co2 Co 0.137 0.000 0.955
Co3 Co 0.182 0.500 0.774
Co4 Co 0.227 0.000 0.590
Ni1 Ni 0.000 0.500 0.500
Ni2 Ni 0.091 0.500 0.137
```

=====

ΔH_f (0 K) / meV per atom: 1029.2; 1.8